[1]
Density functional theory data (PBE) for a relaxed FeNiB2Pt crystal.

Results
Total DFT energy (no corrections) in eV per cell: -28.3
Energy of formation in eV/atom: 1.067
Volume in Å³/cell: 64.76
Space group: P4/mmm, No. 123
Crystal system: tetragonal
Fermi-level density of states in states/eV/f.u.: 9.2

The structure in POSCAR format:
```
FeNiB2Pt
1.0
3.707 0.000 0.000
0.000 3.707 0.000
0.000 0.000 4.713
Fe Ni B Pt
1 1 2 1
Direct
0.000 0.000 0.000
0.500 0.500 0.500
0.000 0.500 0.000
0.500 0.000 0.000
0.000 0.000 0.500
```

=====

[2]
Density functional theory data (PBE) for a relaxed CeDyAlPd crystal.

Results
Total DFT energy (no corrections) in eV per cell: -21.3
Energy of formation in eV/atom: -0.452
Volume in Å³/cell: 94.59
Space group: F-43m, No. 216
Crystal system: cubic
Fermi-level density of states in states/eV/f.u.: 6.7

The structure in POSCAR format:
```
CeDyAlPd
1.0
0.000 3.616 3.616
3.616 0.000 3.616
3.616 3.616 0.000
Ce Dy Al Pd
1 1 1 1
Direct
0.000 0.000 0.000
0.500 0.500 0.500
0.750 0.750 0.750
0.250 0.250 0.250
```

=====

[3]
Density functional theory data (PBE) for a relaxed KInMo2 crystal.

Results
Total DFT energy (no corrections) in eV per cell: -21.8
Energy of formation in eV/atom: 0.928
Volume in Å³/cell: 95.54
Space group: Imm2, No. 44
Crystal system: orthorhombic
Fermi-level density of states in states/eV/f.u.: 3.2

The structure in POSCAR format:
```
KInMo2
1.0
-1.605 2.783 5.349
1.605 -2.783 5.349
1.605 2.783 -5.349
K In Mo
1 1 2
Direct
0.000 0.000 0.000
0.296 0.796 0.500
0.560 0.560 0.000
0.720 0.220 0.500
```

=====

[4]
Density functional theory data (PBE) for a relaxed Ce2MgTi2Ir5 crystal.

Results
Total DFT energy (no corrections) in eV per cell: -157.2
Energy of formation in eV/atom: -0.506
Volume in Å³/cell: 361.15
Space group: P4/mbm, No. 127
Crystal system: tetragonal
Fermi-level density of states in states/eV/f.u.: 12.4

The structure in POSCAR format:
```
Ce2MgTi2Ir5
1.0
9.656 0.000 0.000
0.000 9.656 0.000
0.000 0.000 3.873
Ce Mg Ti Ir
4 2 4 10
Direct
0.187 0.313 0.000
0.313 0.813 0.000
0.687 0.187 0.000
0.813 0.687 0.000
0.000 0.000 0.000
0.500 0.500 0.000
0.117 0.617 0.000
0.383 0.117 0.000
0.617 0.883 0.000
0.883 0.383 0.000
0.000 0.500 0.500
0.060 0.792 0.500
0.208 0.060 0.500
0.292 0.560 0.500
0.440 0.292 0.500
0.500 0.000 0.500
0.560 0.708 0.500
0.708 0.440 0.500
0.792 0.940 0.500
0.940 0.208 0.500
```

=====

[5]
Density functional theory data (PBE) for a relaxed LiBSe2 crystal.

Results
Total DFT energy (no corrections) in eV per cell: -31.4
Volume in Å³/cell: 137.91
Space group: I4_1/amd, No. 141
ΔE_f (raw) in eV per formula unit: -0.16
Crystal system: tetragonal
Fermi-level density of states in states/eV/f.u.: 0.0

The structure in POSCAR format:
```
LiBSe2
1.0
-2.701 2.701 4.727
2.701 -2.701 4.727
2.701 2.701 -4.727
Li B Se
2 2 4
Direct
0.375 0.625 0.750
0.625 0.375 0.250
0.125 0.875 0.250
0.875 0.125 0.750
0.086 0.336 0.750
0.336 0.086 0.250
0.664 0.914 0.750
0.914 0.664 0.250
```

=====

[6]
Density functional theory data (PBE) for a relaxed Tl2InPb6 crystal.

Results
Total DFT energy (no corrections) in eV per cell: -29.1
Energy of formation in eV/atom: 0.074
Volume in Å³/cell: 284.66
ΔE to the lowest computed polymorph in eV/f.u.: 0.248
Space group: P-62m, No. 189
Crystal system: hexagonal
Fermi-level density of states in states/eV/f.u.: 2.9

The structure in POSCAR format:
```
Tl2InPb6
1.0
8.874 0.000 0.000
-4.437 7.685 0.000
0.000 0.000 4.174
Tl In Pb
2 1 6
Direct
0.333 0.667 0.000
0.667 0.333 0.000
0.000 0.000 0.500
0.000 0.266 0.000
0.000 0.625 0.500
0.266 0.000 0.000
0.375 0.375 0.500
0.625 0.000 0.500
0.734 0.734 0.000
```